28
Lattice="-1.745 0.179 -2.750 0.128 -10.067 -0.735 -8.782 -0.516 5.539" Properties=species:S:1:pos:R:3 comment="GGA+U SmMn2O4, relaxed" crystal_system=orthorhombic vol_a3_per_cell=342.3 spacegroup="Pca2_1, No. 29" e_above_lowest_polymorph_mev_per_atom=0.0 e_tot_ev_per_cell=-221.08 pbc="T T T"
Sm -8.736 -2.875 2.652
Sm -6.748 -7.796 1.071
Sm -3.650 -2.688 0.977
Sm -1.663 -7.609 -0.604
Mn -5.781 -4.649 2.499
Mn -8.000 -9.817 3.571
Mn -4.571 -9.460 -0.716
Mn -8.013 -6.140 3.945
Mn -4.698 -5.772 -0.522
Mn -5.748 -0.970 2.843
Mn -2.433 -0.601 -1.623
Mn -2.352 -4.293 -1.788
O -5.359 -1.202 0.327
O -4.786 -9.130 1.745
O -7.620 -10.270 1.610
O -8.793 -1.558 4.605
O -8.856 -4.332 4.639
O -7.305 -8.002 3.322
O -1.509 -8.758 -2.781
O -3.943 -7.638 -1.070
O -7.671 -5.236 1.970
O -2.667 -10.070 -0.273
O -5.580 -3.960 0.113
O -3.092 -2.551 -1.279
O -6.454 -2.915 3.113
O -2.717 -5.035 0.086
O -1.642 -6.021 -2.345
O -5.076 -6.377 1.934